(1)
RbTm4S6 | PBE | relaxed

Lattice parameters (Å, degrees): 3.9136 6.8057 20.8621 90.00 90.00 106.71
Last column: nearest neighbours and their distance in Å.
Fractional coordinates of all 22 atoms:
Rb  0.6517  0.3034  0.2500  6 S 3.21-3.27
Rb  0.3483  0.6966  0.7500  6 S 3.21-3.27
Tm  0.8689  0.7379  0.5400  6 S 2.59-2.79
Tm  0.4001  0.8001  0.1326  5 S 2.55-2.82
Tm  0.1311  0.2621  0.4600  6 S 2.59-2.79
Tm  0.5999  0.1999  0.8674  5 S 2.55-2.82
Tm  0.8689  0.7379  0.9600  6 S 2.59-2.79
Tm  0.1311  0.2621  0.0400  6 S 2.59-2.79
Tm  0.5999  0.1999  0.6326  5 S 2.55-2.82
Tm  0.4001  0.8001  0.3674  5 S 2.55-2.82
S  0.5000  0.0000  0.0000  4 Tm 2.73
S  0.5000  0.0000  0.5000  4 Tm 2.73
S  0.0335  0.0669  0.3517  3 Tm 2.59-2.64
S  0.9665  0.9331  0.6483  3 Tm 2.59-2.64
S  0.9665  0.9331  0.8517  3 Tm 2.59-2.64
S  0.0335  0.0669  0.1483  3 Tm 2.59-2.64
S  0.7706  0.5412  0.4214  5 Tm 2.79-2.82
S  0.2294  0.4588  0.5786  5 Tm 2.79-2.82
S  0.2294  0.4588  0.9214  5 Tm 2.79-2.82
S  0.7706  0.5412  0.0786  5 Tm 2.79-2.82
S  0.3468  0.6936  0.2500  2 Tm 2.55
S  0.6532  0.3064  0.7500  2 Tm 2.55

Computed properties:
The magnetic moment comes out at 0.0 μB per formula unit. The raw formation energy comes out at -1.926 eV/atom.

(2)
Rb5TmS4 | PBE | relaxed

Lattice parameters (Å, degrees): 4.4813 8.5298 10.2937 114.32 102.57 90.00
Last column: nearest neighbours and their distance in Å.
Fractional coordinates of all 10 atoms:
Rb  0.1684  0.4190  0.3368  3 S 3.09-3.11
Rb  0.1686  0.9158  0.3372  3 S 3.09-3.11
Rb  0.8314  0.0842  0.6628  3 S 3.09-3.11
Rb  0.5000  0.5000  0.0000  4 S 3.32
Rb  0.8316  0.5810  0.6632  3 S 3.09-3.11
Tm  0.5000  0.0000  0.0000  6 S 2.86-2.88
S  0.6570  0.1562  0.3140  1 Tm 2.86, 4 Rb 3.11
S  0.9999  0.2124  0.9999  2 Tm 2.88, 2 Rb 3.09
S  0.3430  0.8438  0.6860  1 Tm 2.86, 4 Rb 3.11
S  0.0001  0.7876  0.0001  2 Tm 2.88, 2 Rb 3.09

Computed properties:
The magnetic moment comes out at 0.0 μB per formula unit. The raw formation energy comes out at -1.168 eV/atom.

Look up the magnetic moment of the first one.
0.0 μB per formula unit

The highest raw formation energy belongs to which entry?
Rb5TmS4